#w
Density functional theory data (PBE) for Na2Tl8Pb after structural relaxation.

a = 7.069 Å, b = 6.765 Å, c = 8.251 Å
α = 114.20°, β = 103.18°, γ = 90.00°
Element x y z (fractional)
Na 0.568 0.807 0.613
Na 0.432 0.193 0.387
Tl 0.690 0.821 0.169
Tl 0.310 0.652 0.831
Tl 0.985 0.769 0.538
Tl 0.015 0.231 0.462
Tl 0.690 0.348 0.169
Tl 0.310 0.179 0.831
Tl 0.192 0.598 0.195
Tl 0.808 0.402 0.805
Pb 0.000 0.000 0.000

---

#x
Density functional theory data (PBE) for Na2Tl8Pb after structural relaxation.

a = 5.353 Å, b = 5.353 Å, c = 12.019 Å
α = 90.00°, β = 90.00°, γ = 90.00°
Element x y z (fractional)
Na 0.000 0.000 0.328
Na 0.000 0.000 0.672
Tl 0.000 0.500 0.500
Tl 0.500 0.000 0.500
Tl 0.500 0.500 0.331
Tl 0.500 0.500 0.669
Tl 0.000 0.500 0.156
Tl 0.500 0.000 0.156
Tl 0.000 0.500 0.844
Tl 0.500 0.000 0.844
Pb 0.000 0.000 0.000

---

Computed stability ranking, most favorable first: #x, #w

---

#w
Density functional theory data (PBE) for Na4Tl4Pb after structural relaxation.

a = 8.108 Å, b = 8.108 Å, c = 7.302 Å
α = 123.72°, β = 123.72°, γ = 90.00°
Element x y z (fractional)
Na 0.502 0.502 0.503
Na 0.498 0.999 0.497
Na 0.001 0.001 0.503
Na 0.999 0.498 0.497
Tl 0.500 0.000 0.000
Tl 0.000 0.500 0.000
Tl 0.345 0.345 0.689
Tl 0.655 0.655 0.311
Pb 0.000 0.000 0.000

---

#x
Density functional theory data (PBE) for Na4Tl4Pb after structural relaxation.

a = 4.558 Å, b = 7.870 Å, c = 7.870 Å
α = 85.19°, β = 73.17°, γ = 73.17°
Element x y z (fractional)
Na 0.164 0.172 0.000
Na 0.836 0.828 0.000
Na 0.836 0.500 0.328
Na 0.164 0.500 0.672
Tl 0.500 0.165 0.334
Tl 0.500 0.835 0.666
Tl 0.165 0.834 0.335
Tl 0.835 0.166 0.665
Pb 0.500 0.500 0.000

---

Computed stability ranking, most favorable first: #x, #w

---

#w
Density functional theory data (PBE) for Na2Tl3Pb2 after structural relaxation.

a = 4.888 Å, b = 7.543 Å, c = 6.107 Å
α = 94.82°, β = 113.59°, γ = 90.00°
Element x y z (fractional)
Na 0.427 0.780 0.855
Na 0.573 0.220 0.145
Tl 0.000 0.500 0.000
Tl 0.143 0.934 0.286
Tl 0.857 0.066 0.714
Pb 0.715 0.646 0.431
Pb 0.285 0.354 0.569

---

#x
Density functional theory data (PBE) for Na2Tl3Pb2 after structural relaxation.

a = 6.061 Å, b = 6.577 Å, c = 11.236 Å
α = 90.00°, β = 73.13°, γ = 90.00°
Element x y z (fractional)
Na 0.172 0.324 0.206
Na 0.172 0.176 0.706
Na 0.828 0.824 0.294
Na 0.828 0.676 0.794
Tl 0.000 0.500 0.500
Tl 0.000 0.000 0.000
Tl 0.264 0.942 0.423
Tl 0.736 0.442 0.077
Tl 0.264 0.558 0.923
Tl 0.736 0.058 0.577
Pb 0.432 0.645 0.622
Pb 0.568 0.145 0.878
Pb 0.432 0.855 0.122
Pb 0.568 0.355 0.378

---

Computed stability ranking, most favorable first: #w, #x

---

#w
Density functional theory data (PBE) for NaTl8Pb5 after structural relaxation.

a = 8.327 Å, b = 8.327 Å, c = 8.327 Å
α = 110.45°, β = 110.45°, γ = 107.52°
Element x y z (fractional)
Na 0.250 0.750 0.500
Tl 0.004 0.771 0.104
Tl 0.229 0.333 0.234
Tl 0.595 0.822 0.417
Tl 0.178 0.595 0.774
Tl 0.822 0.405 0.226
Tl 0.099 0.996 0.766
Tl 0.667 0.901 0.896
Tl 0.405 0.178 0.583
Pb 0.875 0.279 0.817
Pb 0.721 0.538 0.595
Pb 0.462 0.058 0.183
Pb 0.500 0.500 0.000
Pb 0.942 0.125 0.405

---

#x
Density functional theory data (PBE) for NaTl8Pb5 after structural relaxation.

a = 8.462 Å, b = 8.462 Å, c = 8.462 Å
α = 104.44°, β = 120.08°, γ = 104.44°
Element x y z (fractional)
Na 0.250 0.500 0.750
Tl 0.102 0.632 0.011
Tl 0.989 0.091 0.621
Tl 0.759 0.356 0.437
Tl 0.563 0.322 0.918
Tl 0.597 0.678 0.241
Tl 0.531 0.909 0.898
Tl 0.379 0.368 0.469
Tl 0.082 0.644 0.403
Pb 0.954 0.236 0.013
Pb 0.987 0.941 0.223
Pb 0.777 0.764 0.718
Pb 0.500 0.000 0.500
Pb 0.282 0.059 0.046

---

Computed stability ranking, most favorable first: #x, #w

---

#w
Density functional theory data (PBE) for NaTmTlPb after structural relaxation.

a = 3.775 Å, b = 3.775 Å, c = 7.723 Å
α = 90.00°, β = 90.00°, γ = 90.00°
Element x y z (fractional)
Na 0.000 0.000 0.352
Tm 0.000 0.000 0.863
Tl 0.500 0.500 0.101
Pb 0.500 0.500 0.611

---

#x
Density functional theory data (PBE) for NaTmTlPb after structural relaxation.

a = 5.364 Å, b = 5.364 Å, c = 5.364 Å
α = 60.00°, β = 60.00°, γ = 60.00°
Element x y z (fractional)
Pb 0.750 0.750 0.750
Na 0.000 0.000 0.000
Tl 0.250 0.250 0.250
Tm 0.500 0.500 0.500

---

Computed stability ranking, most favorable first: #w, #x

---

#w
Density functional theory data (PBE) for NaYTlPb after structural relaxation.

a = 4.265 Å, b = 5.212 Å, c = 4.954 Å
α = 90.00°, β = 90.00°, γ = 90.00°
Element x y z (fractional)
Na 0.500 0.500 0.000
Y 0.500 0.000 0.500
Tl 0.000 0.500 0.500
Pb 0.000 0.000 0.000

---

#x
Density functional theory data (PBE) for NaYTlPb after structural relaxation.

a = 5.401 Å, b = 5.401 Å, c = 5.401 Å
α = 60.00°, β = 60.00°, γ = 60.00°
Element x y z (fractional)
Pb 0.500 0.500 0.500
Y 0.750 0.750 0.750
Tl 0.000 0.000 0.000
Na 0.250 0.250 0.250

---

Computed stability ranking, most favorable first: #w, #x